# Al2GaTc, relaxed, DFT PBE
data_Al2GaTc
_chemical_formula_sum 'Al2 Ga1 Tc1'
_symmetry_space_group_name_H-M 'P 1'
_symmetry_Int_Tables_number 1
_cell_length_a 4.3860
_cell_length_b 4.3860
_cell_length_c 4.3860
_cell_angle_alpha 60.00
_cell_angle_beta 60.00
_cell_angle_gamma 60.00
loop_
_symmetry_equiv_pos_as_xyz
'x,y,z'
loop_
_atom_site_label
_atom_site_type_symbol
_atom_site_fract_x
_atom_site_fract_y
_atom_site_fract_z
Al1 Al 0.2500 0.2500 0.2500
Tc1 Tc 0.5000 0.5000 0.5000
Al2 Al 0.0000 0.0000 0.0000
Ga1 Ga 0.7500 0.7500 0.7500
# Calculated volume ... 14.9 Å³/atom
# Crystal system ... cubic
# Size of the total moment ... 0.0 μB/f.u.
# E_tot ... -5.151 eV per atom